1.
Here is an optimized crystal structure of TcNi2I8 from Alexandria via LeMat-Bulk. Energies are from PBE-GGA.

Output
crystal system	monoclinic
SG	No. 12
uncorrected formation energy	-5.8	meV/atom
calculated density	4.60	g cm⁻³

a = 6.747 Å, b = 9.578 Å, c = 8.384 Å
α = 124.83°, β = 91.73°, γ = 90.00°
Sites, in units of the cell vectors:
1 I 0.310 0.650 0.300
2 I 0.231 0.119 0.838
3 I 0.769 0.282 0.162
4 I 0.767 0.830 0.660
5 I 0.233 0.170 0.340
6 I 0.231 0.718 0.838
7 I 0.769 0.881 0.162
8 I 0.690 0.350 0.700
9 Tc 0.000 0.000 0.000
10 Ni 0.612 0.173 0.347
11 Ni 0.388 0.827 0.653

---

2.
Here is an optimized crystal structure of Tc3NiI from Alexandria via LeMat-Bulk. Energies are from PBE-GGA.

Output
crystal system	cubic
SG	No. 221
uncorrected formation energy	1659.6	meV/atom
calculated density	8.47	g cm⁻³

a = 4.547 Å, b = 4.547 Å, c = 4.547 Å
α = 90.00°, β = 90.00°, γ = 90.00°
Sites, in units of the cell vectors:
1 Tc 0.000 0.500 0.000
2 Tc 0.000 0.000 0.500
3 Tc 0.500 0.000 0.000
4 I 0.500 0.500 0.500
5 Ni 0.000 0.000 0.000

---

3.
Here is an optimized crystal structure of TlTc2NiI from Alexandria via LeMat-Bulk. Energies are from PBE-GGA.

Output
crystal system	tetragonal
SG	No. 123
uncorrected formation energy	1364.0	meV/atom
calculated density	8.15	g cm⁻³

a = 4.827 Å, b = 5.126 Å, c = 4.827 Å
α = 90.00°, β = 90.00°, γ = 90.00°
Sites, in units of the cell vectors:
1 Tc 0.500 0.000 0.000
2 Tc 0.000 0.000 0.500
3 I 0.000 0.500 0.000
4 Tl 0.500 0.500 0.500
5 Ni 0.000 0.000 0.000

---

4.
Here is an optimized crystal structure of NiTeI from Alexandria via LeMat-Bulk. Energies are from PBE-GGA.

Output
crystal system	orthorhombic
SG	No. 62
uncorrected formation energy	-116.5	meV/atom
calculated density	6.18	g cm⁻³

a = 3.912 Å, b = 6.930 Å, c = 12.412 Å
α = 90.00°, β = 90.00°, γ = 90.00°
Sites, in units of the cell vectors:
1 I 0.250 0.882 0.249
2 I 0.750 0.382 0.251
3 I 0.750 0.118 0.751
4 I 0.250 0.618 0.749
5 Ni 0.250 0.558 0.129
6 Ni 0.750 0.442 0.871
7 Ni 0.750 0.058 0.371
8 Ni 0.250 0.942 0.629
9 Te 0.750 0.693 0.021
10 Te 0.250 0.193 0.479
11 Te 0.250 0.307 0.979
12 Te 0.750 0.807 0.521

---

5.
Here is an optimized crystal structure of Ni2Te3I from Alexandria via LeMat-Bulk. Energies are from PBE-GGA.

Output
crystal system	trigonal
SG	No. 164
uncorrected formation energy	-127.2	meV/atom
calculated density	6.73	g cm⁻³

a = 7.808 Å, b = 7.808 Å, c = 5.857 Å
α = 90.00°, β = 90.00°, γ = 120.00°
Sites, in units of the cell vectors:
1 Ni 0.000 0.500 0.000
2 Ni 0.500 0.500 0.000
3 Ni 0.000 0.000 0.000
4 Ni 0.500 0.000 0.000
5 I 0.333 0.667 0.324
6 I 0.667 0.333 0.676
7 Te 0.170 0.830 0.795
8 Te 0.660 0.830 0.795
9 Te 0.830 0.660 0.205
10 Te 0.830 0.170 0.205
11 Te 0.170 0.340 0.795
12 Te 0.340 0.170 0.205

---

6.
Here is an optimized crystal structure of Ni3Te4I2 from Alexandria via LeMat-Bulk. Energies are from PBE-GGA.

Output
crystal system	orthorhombic
SG	No. 69
uncorrected formation energy	-42.0	meV/atom
calculated density	5.57	g cm⁻³

a = 5.633 Å, b = 5.633 Å, c = 10.617 Å
α = 97.55°, β = 97.55°, γ = 120.33°
Sites, in units of the cell vectors:
1 I 0.324 0.324 0.648
2 I 0.676 0.676 0.352
3 Te 0.740 0.072 0.812
4 Te 0.260 0.928 0.188
5 Te 0.072 0.740 0.812
6 Te 0.928 0.260 0.188
7 Ni 0.500 0.000 0.000
8 Ni 0.000 0.500 0.000
9 Ni 0.000 0.000 0.000

---

7.
Here is an optimized crystal structure of NiTeI from Alexandria via LeMat-Bulk. Energies are from PBE-GGA.

Output
crystal system	trigonal
SG	No. 156
uncorrected formation energy	-66.4	meV/atom
calculated density	6.80	g cm⁻³

a = 3.838 Å, b = 3.838 Å, c = 5.994 Å
α = 90.00°, β = 90.00°, γ = 120.00°
Sites, in units of the cell vectors:
1 Ni 0.667 0.333 0.345
2 Te 0.333 0.667 0.571
3 I 0.000 0.000 0.085

---

8.
Here is an optimized crystal structure of Ni3Te4I2 from Alexandria via LeMat-Bulk. Energies are from PBE-GGA.

Output
crystal system	hexagonal
SG	No. 187
uncorrected formation energy	-11.9	meV/atom
calculated density	6.44	g cm⁻³

a = 3.802 Å, b = 3.802 Å, c = 19.379 Å
α = 90.00°, β = 90.00°, γ = 120.00°
Sites, in units of the cell vectors:
1 Te 0.667 0.333 0.742
2 Te 0.667 0.333 0.595
3 Te 0.667 0.333 0.258
4 Te 0.667 0.333 0.405
5 I 0.000 0.000 0.912
6 I 0.000 0.000 0.088
7 Ni 0.000 0.000 0.669
8 Ni 0.000 0.000 0.331
9 Ni 0.667 0.333 0.000